A plane-wave DFT calculation with GGA+U was carried out for a geometry-optimized FeSnNF2 structure.

Summary:
E above lowest polymorph = 203.7 meV/atom
Symmetry = P4/mmm
Total magnetization = 4.0 μB per cell

Cell: 3.7102 7.2174 3.7102 Å, 90.00 90.00 90.00°
Sites, in units of the cell vectors:
N  0.5000  0.5000  0.5000
F  0.0000  0.0000  0.5000
F  0.5000  0.0000  0.0000
Sn  0.0000  0.5000  0.0000
Fe  0.0000  0.0000  0.0000